Y3Al3Cu2Pd | PBE-GGA | relaxed

Computed properties:
Space group: P-62m
Volume (A^3/atom): 19.532
Raw total energy (eV/cell): -48.52

a b c (Å): 7.065 7.065 4.067
angles (deg): 90.00 90.00 120.00
Element x y z (fractional)
Y (0.000, 0.582, 0.000)
Y (0.418, 0.418, 0.000)
Y (0.582, 0.000, 0.000)
Al (0.000, 0.240, 0.500)
Al (0.240, 0.000, 0.500)
Al (0.760, 0.760, 0.500)
Cu (0.333, 0.667, 0.500)
Cu (0.667, 0.333, 0.500)
Pd (0.000, 0.000, 0.000)